No. 1
## Ca2SbI (PBE-GGA)

Data for Ca2SbI after structural relaxation.

Cell: 7.804 7.740 9.360 Å, 90.00 89.98 90.00°
Element x y z (fractional)
Ca 0.500 0.750 0.157
Ca 0.000 0.750 0.157
Ca 0.000 0.250 0.416
Ca 0.000 0.250 0.843
Ca 0.000 0.750 0.584
Ca 0.500 0.750 0.584
Ca 0.500 0.250 0.843
Ca 0.500 0.250 0.416
Sb 0.750 0.068 0.638
Sb 0.250 0.432 0.638
Sb 0.250 0.932 0.362
Sb 0.750 0.568 0.362
I 0.250 0.411 0.113
I 0.250 0.911 0.887
I 0.750 0.089 0.113
I 0.750 0.589 0.887

Summary:
Total DFT energy (no corrections): -3.621 eV/atom
M_tot: 0.00 Bohr magnetons per cell

No. 2
## ScSb2Ir (PBE-GGA)

Data for ScSb2Ir after structural relaxation.

Cell: 3.463 3.463 7.156 Å, 90.00 90.00 102.20°
Element x y z (fractional)
Ir 0.500 0.500 0.750
Sb 0.000 0.000 0.975
Sb 0.000 0.000 0.525
Sc 0.500 0.500 0.250

Summary:
Relative energy among the computed polymorphs: 239 meV per atom
Fermi-level density of states: 3.16 states/eV/cell
M_tot: 0.00 Bohr magnetons per cell